# K2MgBe

A geometry-optimized K2MgBe structure (PBE, Alexandria).

Values from the calculation:
The energy above the most stable polymorph in this dataset comes out at 0.0031 eV per atom.

a b c (Å): 3.6758 3.6758 10.4274
angles (deg): 90.00 90.00 90.00
Positions (direct):
Mg (0.0000, 0.0000, 0.5928)
Be (0.5000, 0.5000, 0.6715)
K (0.5000, 0.5000, 0.3141)
K (0.0000, 0.0000, 0.9216)